DFT (meta-GGA SCAN) results for a crystal of Ca2NbRh2 relaxed with PBEsol.

Cell lengths 4.678, 4.678, 4.731 Å; angles 90.00, 90.00, 90.00 degrees
Last column: magnetic moment on the atom in μB.
Fractional positions:
Nb1 0.500 0.500 0.500  1.42
Rh1 0.000 0.500 0.000  -0.04
Rh2 0.500 0.000 0.000  -0.04
Ca1 0.000 0.000 0.000  -0.02
Ca2 0.000 0.000 0.500  0.04

Computed properties:
Energy of formation: 1334.3 meV/atom
SG: P4/mmm (123)
Total DFT energy (no corrections): -113.33 eV/cell
ρ: 6.08 g/cm³

***

DFT (meta-GGA SCAN) results for a crystal of Si4AsRu relaxed with PBEsol.

Cell lengths 4.978, 4.978, 4.978 Å; angles 60.00, 60.00, 60.00 degrees
Fractional positions:
As1 0.750 0.750 0.750
Ru1 0.000 0.000 0.000
Si1 0.376 0.376 0.376
Si2 0.376 0.376 0.873
Si3 0.873 0.376 0.376
Si4 0.376 0.873 0.376

Computed properties:
SG: F-43m (216)
ΔE_f (raw): 0.77 eV per atom
Total DFT energy (no corrections): -90.49 eV/cell
ρ: 5.49 g/cm³

***

DFT (meta-GGA SCAN) results for a crystal of LiSn2P5O15 relaxed with PBEsol.

Cell lengths 5.455, 9.684, 12.214 Å; angles 90.00, 90.71, 90.00 degrees
Fractional positions:
Li1 0.443 0.020 0.520
Li2 0.943 0.980 0.020
Sn1 0.888 0.686 0.909
Sn2 0.611 0.696 0.585
Sn3 0.388 0.314 0.409
Sn4 0.111 0.304 0.085
P1 0.597 0.197 0.919
P2 0.396 0.464 0.855
P3 0.726 0.000 0.747
P4 0.107 0.463 0.648
P5 0.922 0.190 0.583
P6 0.097 0.803 0.419
P7 0.896 0.536 0.355
P8 0.226 0.000 0.247
P9 0.607 0.537 0.148
P10 0.422 0.810 0.083
O1 0.846 0.166 0.967
O2 0.377 0.179 0.991
O3 0.218 0.457 0.948
O4 0.610 0.351 0.871
O5 0.859 0.911 0.828
O6 0.512 0.601 0.831
O7 0.552 0.108 0.810
O8 0.267 0.400 0.748
O9 0.930 0.098 0.692
O10 0.979 0.592 0.682
O11 0.567 0.936 0.660
O12 0.905 0.343 0.633
O13 0.269 0.468 0.549
O14 0.167 0.171 0.529
O15 0.691 0.166 0.519
O16 0.346 0.834 0.467
O17 0.877 0.821 0.491
O18 0.718 0.543 0.448
O19 0.110 0.649 0.371
O20 0.359 0.089 0.328
O21 0.012 0.399 0.331
O22 0.052 0.892 0.310
O23 0.767 0.600 0.248
O24 0.430 0.902 0.192
O25 0.479 0.408 0.182
O26 0.067 0.064 0.160
O27 0.405 0.657 0.133
O28 0.769 0.532 0.049
O29 0.667 0.829 0.029
O30 0.191 0.834 0.019

Computed properties:
SG: Pc (7)
ΔE_f (raw): -2.24 eV per atom
Total DFT energy (no corrections): -542.56 eV/cell
ρ: 3.29 g/cm³

***

DFT (meta-GGA SCAN) results for a crystal of Cd2HgAu relaxed with PBEsol.

Cell lengths 3.500, 4.827, 4.827 Å; angles 104.81, 90.00, 90.00 degrees
Fractional positions:
Au1 0.500 0.500 0.500
Hg1 0.500 0.000 0.000
Cd1 0.000 0.500 0.000
Cd2 0.000 0.000 0.500

Computed properties:
Distance to the lowest polymorph of the same formula: 0.027 eV per atom
Energy of formation: -80.2 meV/atom
SG: Cmmm (65)
Total DFT energy (no corrections): -198.47 eV/cell
ρ: 13.11 g/cm³

***

DFT (meta-GGA SCAN) results for a crystal of ScZnAs2 relaxed with PBEsol.

Cell lengths 3.780, 3.792, 5.550 Å; angles 109.98, 109.91, 90.00 degrees
Fractional positions:
As1 0.999 0.999 0.999
As2 0.749 0.249 0.498
Sc1 0.500 0.500 0.001
Zn1 0.251 0.751 0.503

Computed properties:
Energy of formation: -529.2 meV/atom
SG: Imm2 (44)
Total DFT energy (no corrections): -70.25 eV/cell
ρ: 6.20 g/cm³

***

DFT (meta-GGA SCAN) results for a crystal of MgFe3Se relaxed with PBEsol.

Cell lengths 4.431, 4.431, 4.431 Å; angles 90.00, 90.00, 90.00 degrees
Last column: magnetic moment on the atom in μB.
Fractional positions:
Mg1 0.000 0.000 0.000  -0.04
Fe1 0.000 0.500 0.000  2.83
Fe2 0.000 0.000 0.500  2.83
Fe3 0.500 0.000 0.000  2.83
Se1 0.500 0.500 0.500  0.04

Computed properties:
SG: Pm-3m (221)
ΔE_f (raw): 1.46 eV per atom
Total DFT energy (no corrections): -72.14 eV/cell
ρ: 5.17 g/cm³

***

DFT (meta-GGA SCAN) results for a crystal of Ag3GeSe relaxed with PBEsol.

Cell lengths 4.901, 4.901, 4.901 Å; angles 90.00, 90.00, 90.00 degrees
Fractional positions:
Ge1 0.500 0.500 0.500
Se1 0.000 0.000 0.000
Ag1 0.000 0.500 0.000
Ag2 0.000 0.000 0.500
Ag3 0.500 0.000 0.000

Computed properties:
SG: Pm-3m (221)
ΔE_f (raw): 0.66 eV per atom
Total DFT energy (no corrections): -129.97 eV/cell
ρ: 6.70 g/cm³

***

DFT (meta-GGA SCAN) results for a crystal of Cr2NiIr relaxed with PBEsol.

Cell lengths 3.649, 3.649, 4.381 Å; angles 114.61, 114.61, 90.00 degrees
Last column: magnetic moment on the atom in μB.
Fractional positions:
Ni1 0.250 0.750 0.500  -0.08
Ir1 0.500 0.500 0.000  0.18
Cr1 0.000 0.000 0.000  2.38
Cr2 0.750 0.250 0.500  -1.83

Computed properties:
Energy of formation: -153.4 meV/atom
SG: I-4m2 (119)
Total DFT energy (no corrections): -124.66 eV/cell
ρ: 12.50 g/cm³

***

DFT (meta-GGA SCAN) results for a crystal of ScW2Cl relaxed with PBEsol.

Cell lengths 3.627, 3.627, 5.805 Å; angles 108.21, 108.21, 90.00 degrees
Fractional positions:
Sc1 0.000 0.000 0.000
W1 0.750 0.250 0.500
W2 0.250 0.750 0.500
Cl1 0.500 0.500 0.000

Computed properties:
SG: I4/mmm (139)
ΔE_f (raw): 0.49 eV per atom
Total DFT energy (no corrections): -159.64 eV/cell
ρ: 10.86 g/cm³

***

DFT (meta-GGA SCAN) results for a crystal of HfSc2CoC relaxed with PBEsol.

Cell lengths 4.564, 4.564, 4.626 Å; angles 90.00, 90.00, 90.00 degrees
Fractional positions:
Sc1 0.000 0.500 0.000
Sc2 0.500 0.000 0.000
Co1 0.000 0.000 0.000
C1 0.500 0.500 0.500
Hf1 0.000 0.000 0.500

Computed properties:
Energy of formation: 1037.7 meV/atom
SG: P4/mmm (123)
Total DFT energy (no corrections): -113.36 eV/cell
ρ: 5.85 g/cm³

***

DFT (meta-GGA SCAN) results for a crystal of La2TaFe relaxed with PBEsol.

Cell lengths 3.332, 3.332, 9.430 Å; angles 79.83, 79.83, 60.00 degrees
Last column: magnetic moment on the atom in μB.
Fractional positions:
Fe1 0.000 0.000 0.000  2.17
La1 0.260 0.260 0.221  -0.20
La2 0.740 0.740 0.779  -0.20
Ta1 0.500 0.500 0.500  0.07

Computed properties:
Distance to the lowest polymorph of the same formula: 0.105 eV per atom
Energy of formation: 776.5 meV/atom
SG: R-3m (166)
Total DFT energy (no corrections): -167.82 eV/cell
ρ: 9.63 g/cm³

***

DFT (meta-GGA SCAN) results for a crystal of Y4C3 relaxed with PBEsol.

Cell lengths 5.084, 5.084, 5.119 Å; angles 90.00, 90.00, 120.00 degrees
Fractional positions:
C1 0.000 0.500 0.000
C2 0.500 0.000 0.000
C3 0.500 0.500 0.000
Y1 0.000 0.000 0.772
Y2 0.000 0.000 0.228
Y3 0.333 0.667 0.500
Y4 0.667 0.333 0.500

Computed properties:
Distance to the lowest polymorph of the same formula: 1.507 eV per atom
Energy of formation: 1255.6 meV/atom
SG: P6/mmm (191)
Total DFT energy (no corrections): -132.88 eV/cell
ρ: 5.68 g/cm³

***

Number 1: V 103.5 Å³ per cell. Number 2: V 87.2 Å³ per cell. Number 3: V 645.2 Å³ per cell. Number 4: V 78.9 Å³ per cell. Number 5: V 69.7 Å³ per cell. Number 6: V 87.0 Å³ per cell. Number 7: V 117.7 Å³ per cell. Number 8: V 47.1 Å³ per cell. Number 9: V 68.5 Å³ per cell. Number 10: V 96.3 Å³ per cell. Number 11: V 88.7 Å³ per cell. Number 12: V 114.6 Å³ per cell.